# 1
The following is a DFT calculation (PBE-GGA) of a relaxed structure of BaSi2Mo.

Total magnetization in μB per cell: 0.00
Space-group type: C2/m (12)
Formation energy without anion corrections in kJ per mole of atoms: -13.20

Unit cell a=4.559 b=4.559 c=6.348 alpha=105.52 beta=105.52 gamma=47.49
Positions (direct):
Ba1 0.000 0.000 0.000
Si1 0.222 0.222 0.612
Si2 0.778 0.778 0.388
Mo1 0.500 0.500 0.500

---

# 2
The following is a DFT calculation (PBE-GGA) of a relaxed structure of TaP2Pb.

Total magnetization in μB per cell: 0.00
Space-group type: Cmmm (65)
Energy of formation from the pure elements in meV/atom: 450

Unit cell a=4.711 b=4.711 c=3.350 alpha=90.00 beta=90.00 gamma=100.96
Positions (direct):
Ta1 0.000 0.000 0.000
P1 0.000 0.500 0.500
P2 0.500 0.000 0.500
Pb1 0.500 0.500 0.000

---

# 3
The following is a DFT calculation (PBE-GGA) of a relaxed structure of Ti2Mn3Ga2.

Total magnetization in μB per cell: 3.98
Space-group type: C2/m (12)
Energy of formation from the pure elements in meV/atom: -170

Unit cell a=4.406 b=4.406 c=6.365 alpha=104.96 beta=104.96 gamma=54.76
Positions (direct):
Ti1 0.200 0.200 0.147
Ti2 0.800 0.800 0.853
Mn1 0.098 0.098 0.720
Mn2 0.500 0.500 0.000
Mn3 0.902 0.902 0.280
Ga1 0.382 0.382 0.594
Ga2 0.618 0.618 0.406

---

# 4
The following is a DFT calculation (PBE-GGA) of a relaxed structure of FeRe2B2.

Total magnetization in μB per cell: 1.55
Space-group type: Cmcm (63)
Energy of formation from the pure elements in meV/atom: 51

Unit cell a=6.053 b=6.053 c=4.299 alpha=90.00 beta=90.00 gamma=136.97
Positions (direct):
Fe1 0.000 0.000 0.000
Fe2 0.000 0.000 0.500
Re1 0.221 0.779 0.750
Re2 0.414 0.586 0.250
Re3 0.586 0.414 0.750
Re4 0.779 0.221 0.250
B1 0.182 0.395 0.750
B2 0.395 0.182 0.250
B3 0.605 0.818 0.750
B4 0.818 0.605 0.250